(1)
Below is an optimized crystal structure of Ca2ReMoAs, with properties calculated at the PBEsol level.

Values from the calculation:
Crystal system: tetragonal
Calculated total energy in eV per atom: -5.809

a b c (Å): 5.3029 5.3029 4.5821
angles (deg): 90.00 90.00 90.00
Positions (direct):
Ca  0.0000  0.5000  0.0000
Ca  0.5000  0.0000  0.0000
Re  0.0000  0.0000  0.5000
Mo  0.5000  0.5000  0.5000
As  0.0000  0.0000  0.0000

=====

(2)
Below is an optimized crystal structure of ZrCd3N, with properties calculated at the PBEsol level.

Values from the calculation:
Crystal system: cubic
Uncorrected formation energy in meV/atom: 1941

a b c (Å): 5.6745 5.6745 5.6745
angles (deg): 90.00 90.00 90.00
Positions (direct):
Zr  0.0000  0.0000  0.0000
Cd  0.0000  0.0000  0.5000
Cd  0.0000  0.5000  0.0000
Cd  0.5000  0.0000  0.0000
N  0.5000  0.5000  0.5000

=====

(3)
Below is an optimized crystal structure of YMnSe2, with properties calculated at the PBEsol level.

Values from the calculation:
Crystal system: orthorhombic
Uncorrected formation energy in meV/atom: -1048

a b c (Å): 3.7738 3.7068 12.3816
angles (deg): 90.00 90.00 90.00
Positions (direct):
Y  0.0000  0.0000  0.0000
Y  0.0000  0.5000  0.5000
Mn  0.5000  0.0000  0.2162
Mn  0.5000  0.5000  0.7162
Se  0.0000  0.0000  0.6780
Se  0.0000  0.5000  0.1780
Se  0.5000  0.0000  0.4175
Se  0.5000  0.5000  0.9175

=====

(4)
Below is an optimized crystal structure of CaNbF3, with properties calculated at the PBEsol level.

Values from the calculation:
Crystal system: cubic
Uncorrected formation energy in meV/atom: -1868

a b c (Å): 4.3925 4.3925 4.3925
angles (deg): 90.00 90.00 90.00
Positions (direct):
Ca  0.0000  0.0000  0.0000
Nb  0.5000  0.5000  0.5000
F  0.0000  0.5000  0.5000
F  0.5000  0.0000  0.5000
F  0.5000  0.5000  0.0000

=====

(5)
Below is an optimized crystal structure of CaSnP3, with properties calculated at the PBEsol level.

Values from the calculation:
Crystal system: cubic
Calculated total energy in eV per atom: -3.826

a b c (Å): 5.0488 5.0488 5.0488
angles (deg): 90.00 90.00 90.00
Positions (direct):
Ca  0.0000  0.0000  0.0000
Sn  0.5000  0.5000  0.5000
P  0.0000  0.0000  0.5000
P  0.0000  0.5000  0.0000
P  0.5000  0.0000  0.0000

=====

(6)
Below is an optimized crystal structure of SnPb3I, with properties calculated at the PBEsol level.

Values from the calculation:
Crystal system: cubic
Uncorrected formation energy in meV/atom: 444

a b c (Å): 5.8166 5.8166 5.8166
angles (deg): 90.00 90.00 90.00
Positions (direct):
Sn  0.0000  0.0000  0.0000
Pb  0.0000  0.0000  0.5000
Pb  0.0000  0.5000  0.0000
Pb  0.5000  0.0000  0.0000
I  0.5000  0.5000  0.5000

=====

(7)
Below is an optimized crystal structure of Zr3Al3Ni3H2, with properties calculated at the PBEsol level.

Values from the calculation:
Crystal system: hexagonal
Calculated total energy in eV per atom: -6.534

a b c (Å): 6.7759 6.7759 3.6176
angles (deg): 90.00 90.00 120.00
Positions (direct):
Zr  0.0000  0.5947  0.0000
Zr  0.4053  0.4053  0.0000
Zr  0.5947  0.0000  0.0000
Al  0.0000  0.2489  0.5000
Al  0.2489  0.0000  0.5000
Al  0.7511  0.7511  0.5000
Ni  0.0000  0.0000  0.0000
Ni  0.3333  0.6667  0.5000
Ni  0.6667  0.3333  0.5000
H  0.3333  0.6667  0.0000
H  0.6667  0.3333  0.0000

=====

(8)
Below is an optimized crystal structure of Si2SbMo, with properties calculated at the PBEsol level.

Values from the calculation:
Crystal system: orthorhombic
Uncorrected formation energy in meV/atom: 252

a b c (Å): 3.3849 4.6960 8.1202
angles (deg): 90.00 90.00 90.00
Positions (direct):
Si  0.0000  0.0000  0.0000
Si  0.0000  0.5000  0.2908
Si  0.5000  0.0000  0.7908
Si  0.5000  0.5000  0.5000
Sb  0.0000  0.0000  0.5392
Sb  0.5000  0.5000  0.0392
Mo  0.0000  0.5000  0.7571
Mo  0.5000  0.0000  0.2571

=====

(9)
Below is an optimized crystal structure of NaLi3I, with properties calculated at the PBEsol level.

Values from the calculation:
Crystal system: cubic
Uncorrected formation energy in meV/atom: -211

a b c (Å): 5.4098 5.4098 5.4098
angles (deg): 90.00 90.00 90.00
Positions (direct):
Na  0.0000  0.0000  0.0000
Li  0.0000  0.5000  0.5000
Li  0.5000  0.0000  0.5000
Li  0.5000  0.5000  0.0000
I  0.5000  0.5000  0.5000

=====

(10)
Below is an optimized crystal structure of SrOsPb2, with properties calculated at the PBEsol level.

Values from the calculation:
Crystal system: cubic
Calculated total energy in eV per atom: -4.887

a b c (Å): 7.2978 7.2978 7.2978
angles (deg): 90.00 90.00 90.00
Positions (direct):
Sr  0.0000  0.0000  0.0000
Sr  0.0000  0.5000  0.5000
Sr  0.5000  0.0000  0.5000
Sr  0.5000  0.5000  0.0000
Os  0.2500  0.2500  0.2500
Os  0.2500  0.7500  0.7500
Os  0.7500  0.2500  0.7500
Os  0.7500  0.7500  0.2500
Pb  0.0000  0.0000  0.5000
Pb  0.0000  0.5000  0.0000
Pb  0.2500  0.2500  0.7500
Pb  0.2500  0.7500  0.2500
Pb  0.5000  0.0000  0.0000
Pb  0.5000  0.5000  0.5000
Pb  0.7500  0.2500  0.2500
Pb  0.7500  0.7500  0.7500

=====

(11)
Below is an optimized crystal structure of Mg3Rh, with properties calculated at the PBEsol level.

Values from the calculation:
Crystal system: cubic
Calculated total energy in eV per atom: -3.533

a b c (Å): 4.1004 4.1004 4.1004
angles (deg): 90.00 90.00 90.00
Positions (direct):
Mg  0.0000  0.0000  0.5000
Mg  0.0000  0.5000  0.0000
Mg  0.5000  0.0000  0.0000
Rh  0.5000  0.5000  0.5000

=====

(12)
Below is an optimized crystal structure of K2CrSe, with properties calculated at the PBEsol level.

Values from the calculation:
Crystal system: monoclinic
Uncorrected formation energy in meV/atom: -24

a b c (Å): 11.6810 4.5975 5.9259
angles (deg): 90.00 120.36 90.00
Positions (direct):
K  0.0000  0.0000  0.0000
K  0.1846  0.0000  0.6837
K  0.5000  0.5000  0.0000
K  0.6846  0.5000  0.6837
Cr  0.3832  0.0000  0.3821
Cr  0.8832  0.5000  0.3821
Se  0.3236  0.5000  0.3244
Se  0.8236  0.0000  0.3244

=====

(13)
Below is an optimized crystal structure of Zn5Tc, with properties calculated at the PBEsol level.

Values from the calculation:
Relative energy among the computed polymorphs in meV per atom: 0
Crystal system: orthorhombic

a b c (Å): 3.6690 11.7409 3.7751
angles (deg): 90.00 90.00 90.00
Positions (direct):
Zn  0.0000  0.0000  0.0000
Zn  0.0000  0.1671  0.5000
Zn  0.0000  0.3340  0.0000
Zn  0.0000  0.6660  0.0000
Zn  0.0000  0.8329  0.5000
Zn  0.5000  0.1660  0.0000
Zn  0.5000  0.3329  0.5000
Zn  0.5000  0.5000  0.0000
Zn  0.5000  0.6671  0.5000
Zn  0.5000  0.8340  0.0000
Tc  0.0000  0.5000  0.5000
Tc  0.5000  0.0000  0.5000

=====

(14)
Below is an optimized crystal structure of Li3Sc, with properties calculated at the PBEsol level.

Values from the calculation:
Relative energy among the computed polymorphs in meV per atom: 98
Crystal system: trigonal

a b c (Å): 9.8427 9.8427 2.9666
angles (deg): 90.00 90.00 120.00
Positions (direct):
Li  0.0000  0.5000  0.0000
Li  0.1667  0.3333  0.3333
Li  0.1667  0.8333  0.3333
Li  0.3333  0.1667  0.6667
Li  0.5000  0.0000  0.0000
Li  0.5000  0.5000  0.0000
Li  0.6667  0.8333  0.3333
Li  0.8333  0.1667  0.6667
Li  0.8333  0.6667  0.6667
Sc  0.0000  0.0000  0.0000
Sc  0.3333  0.6667  0.6667
Sc  0.6667  0.3333  0.3333

=====

(15)
Below is an optimized crystal structure of ZrAlIr2, with properties calculated at the PBEsol level.

Values from the calculation:
Crystal system: orthorhombic
Calculated total energy in eV per atom: -8.850

a b c (Å): 2.9427 3.9933 5.4260
angles (deg): 90.00 90.00 90.00
Positions (direct):
Zr  0.0000  0.0000  0.0000
Al  0.5000  0.5000  0.3216
Ir  0.0000  0.0000  0.4765
Ir  0.5000  0.5000  0.8017

=====

(16)
Below is an optimized crystal structure of BaFe2Tc, with properties calculated at the PBEsol level.

Values from the calculation:
Relative energy among the computed polymorphs in meV per atom: 0
Crystal system: trigonal

a b c (Å): 4.1017 4.1017 17.3584
angles (deg): 90.00 90.00 120.00
Positions (direct):
Ba  0.0000  0.0000  0.0000
Ba  0.3333  0.6667  0.6667
Ba  0.6667  0.3333  0.3333
Fe  0.0000  0.0000  0.1879
Fe  0.0000  0.0000  0.8121
Fe  0.3333  0.6667  0.4787
Fe  0.3333  0.6667  0.8546
Fe  0.6667  0.3333  0.1454
Fe  0.6667  0.3333  0.5213
Tc  0.0000  0.0000  0.5000
Tc  0.3333  0.6667  0.1667
Tc  0.6667  0.3333  0.8333

=====

(17)
Below is an optimized crystal structure of CdBiRuI2, with properties calculated at the PBEsol level.

Values from the calculation:
Crystal system: tetragonal
Uncorrected formation energy in meV/atom: 949

a b c (Å): 6.1308 6.1308 5.1892
angles (deg): 90.00 90.00 90.00
Positions (direct):
Cd  0.0000  0.0000  0.0000
Bi  0.5000  0.5000  0.5000
Ru  0.5000  0.5000  0.0000
I  0.0000  0.5000  0.5000
I  0.5000  0.0000  0.5000

=====

(18)
Below is an optimized crystal structure of BeCd2Ni, with properties calculated at the PBEsol level.

Values from the calculation:
Crystal system: cubic
Calculated total energy in eV per atom: -2.897

a b c (Å): 6.1560 6.1560 6.1560
angles (deg): 90.00 90.00 90.00
Positions (direct):
Be  0.0000  0.0000  0.0000
Be  0.0000  0.5000  0.5000
Be  0.5000  0.0000  0.5000
Be  0.5000  0.5000  0.0000
Cd  0.0000  0.0000  0.5000
Cd  0.0000  0.5000  0.0000
Cd  0.2500  0.2500  0.2500
Cd  0.2500  0.7500  0.7500
Cd  0.5000  0.0000  0.0000
Cd  0.5000  0.5000  0.5000
Cd  0.7500  0.2500  0.7500
Cd  0.7500  0.7500  0.2500
Ni  0.2500  0.2500  0.7500
Ni  0.2500  0.7500  0.2500
Ni  0.7500  0.2500  0.2500
Ni  0.7500  0.7500  0.7500

=====

(19)
Below is an optimized crystal structure of Y3Zr, with properties calculated at the PBEsol level.

Values from the calculation:
Relative energy among the computed polymorphs in meV per atom: 0
Crystal system: hexagonal

a b c (Å): 3.4607 3.4607 10.9371
angles (deg): 90.00 90.00 120.00
Positions (direct):
Y  0.0000  0.0000  0.0000
Y  0.3333  0.6667  0.2644
Y  0.3333  0.6667  0.7356
Zr  0.0000  0.0000  0.5000

=====

(20)
Below is an optimized crystal structure of Li2Mn4OF8, with properties calculated at the PBEsol level.

Values from the calculation:
Crystal system: monoclinic
Uncorrected formation energy in meV/atom: -2226

a b c (Å): 5.3547 5.3547 14.2297
angles (deg): 90.94 90.94 58.81
Positions (direct):
Li  0.0064  0.9936  0.5000
Li  0.0257  0.9528  0.7898
Li  0.9528  0.0257  0.2898
Li  0.9936  0.0064  0.0000
Mn  0.3185  0.3354  0.8387
Mn  0.3354  0.3185  0.3387
Mn  0.3382  0.3398  0.6319
Mn  0.3398  0.3382  0.1319
Mn  0.6384  0.7063  0.1885
Mn  0.6621  0.6719  0.9672
Mn  0.6719  0.6621  0.4672
Mn  0.7063  0.6384  0.6885
O  0.0689  0.5993  0.7346
O  0.5993  0.0689  0.2346
F  0.0140  0.6811  0.4106
F  0.2858  0.6779  0.2375
F  0.2940  0.7005  0.9078
F  0.2976  0.9961  0.4086
F  0.3421  0.9756  0.0673
F  0.3443  0.9922  0.7433
F  0.3790  0.6735  0.5721
F  0.6735  0.3790  0.0721
F  0.6756  0.9700  0.5685
F  0.6779  0.2858  0.7375
F  0.6811  0.0140  0.9106
F  0.7005  0.2940  0.4078
F  0.9700  0.6756  0.0685
F  0.9756  0.3421  0.5673
F  0.9922  0.3443  0.2433
F  0.9961  0.2976  0.9086